An optimized crystal structure of YAlAg4, computed with PBE-GGA.

abc: 5.537 5.537 5.537
angles: 60.00 60.00 60.00
Atoms (fractional coordinates):
Y1 0.000 0.000 0.000
Al1 0.250 0.250 0.250
Ag1 0.126 0.625 0.625
Ag2 0.625 0.126 0.625
Ag3 0.625 0.625 0.126
Ag4 0.625 0.625 0.625

## Properties
The calculation puts the energy relative to the elements at -0.141 eV per atom. The calculated total energy comes out at -3.74 eV/atom. The density of states at the Fermi level is 1.50 states/eV/f.u. Its magnetic moment is 0.000 μB per cell. As for the energy above the most stable polymorph in this dataset: 0 meV per atom.